# Pa2RuI

A relaxed structure of Pa2RuI (PBE, Alexandria via LeMat-Bulk).

The space group is R-3m (No. 166, hexagonal axes) and the conventional cell measures 3.9913, 3.9913 and 23.5141 Å, with angles of 90.00, 90.00 and 120.00 degrees. The inequivalent atoms are Pa at (0.0000, 0.0000, 0.2302), Ru at (0.0000, 0.0000, 0.5000) and I at (0.0000, 0.0000, 0.0000).

The calculated total energy comes out at -93.57 eV/cell. Its crystal system is trigonal.